# GGA-PBEsol Tc2HgSb, relaxed
# - E_tot (eV per atom) = -6.46
# - crystal system = cubic
# - SG = No. 225
data_Tc2HgSb
_space_group_name_H-M_alt 'P 1'
_space_group_IT_number 1
_cell_length_a 4.551
_cell_length_b 4.551
_cell_length_c 4.551
_cell_angle_alpha 60.00
_cell_angle_beta 60.00
_cell_angle_gamma 60.00
loop_
_space_group_symop_operation_xyz
'x,y,z'
loop_
_atom_site_label
_atom_site_fract_x
_atom_site_fract_y
_atom_site_fract_z
Tc1 0.250 0.250 0.250
Hg1 0.000 0.000 0.000
Tc2 0.750 0.750 0.750
Sb1 0.500 0.500 0.500



# GGA-PBEsol Mn2ReSi, relaxed
# - E_tot (eV per atom) = -9.91
# - crystal system = tetragonal
# - SG = No. 123
data_Mn2ReSi
_space_group_name_H-M_alt 'P 1'
_space_group_IT_number 1
_cell_length_a 2.803
_cell_length_b 2.803
_cell_length_c 5.864
_cell_angle_alpha 90.00
_cell_angle_beta 90.00
_cell_angle_gamma 90.00
loop_
_space_group_symop_operation_xyz
'x,y,z'
loop_
_atom_site_label
_atom_site_fract_x
_atom_site_fract_y
_atom_site_fract_z
Re1 0.500 0.500 0.000
Si1 0.500 0.500 0.500
Mn1 0.000 0.000 0.731
Mn2 0.000 0.000 0.269